[1]
A geometry-optimized Th2FeCu structure, computed with PBE.

The structure in CIF format:
```
data_Th2FeCu
_cell_length_a 3.897
_cell_length_b 3.897
_cell_length_c 8.961
_cell_angle_alpha 77.44
_cell_angle_beta 77.44
_cell_angle_gamma 60.00
_space_group_name_H-M_alt 'P 1'
_space_group_IT_number 1
loop_
_space_group_symop_operation_xyz
'x,y,z'
loop_
_atom_site_label
_atom_site_type_symbol
_atom_site_fract_x
_atom_site_fract_y
_atom_site_fract_z
Cu1 Cu 0.000 0.000 0.000
Th1 Th 0.111 0.111 0.668
Th2 Th 0.889 0.889 0.332
Fe1 Fe 0.500 0.500 0.500
```

Properties
* energy of formation: 405 meV per atom
* energy relative to the lowest polymorph listed for this composition: 0.516 eV/atom
* total moment: 0.0 μB/f.u.
* symmetry: No. 166
* DFT total energy: -6.4451 eV per atom


[2]
A geometry-optimized Th2FeCu structure, computed with PBE.

The structure in CIF format:
```
data_Th2FeCu
_cell_length_a 4.060
_cell_length_b 5.983
_cell_length_c 7.763
_cell_angle_alpha 110.04
_cell_angle_beta 90.00
_cell_angle_gamma 90.00
_space_group_name_H-M_alt 'P 1'
_space_group_IT_number 1
loop_
_space_group_symop_operation_xyz
'x,y,z'
loop_
_atom_site_label
_atom_site_type_symbol
_atom_site_fract_x
_atom_site_fract_y
_atom_site_fract_z
Th1 Th 0.750 0.228 0.451
Th2 Th 0.250 0.772 0.549
Th3 Th 0.250 0.778 0.083
Th4 Th 0.750 0.222 0.917
Fe1 Fe 0.750 0.701 0.287
Fe2 Fe 0.250 0.299 0.713
Cu1 Cu 0.250 0.352 0.211
Cu2 Cu 0.750 0.648 0.789
```

Properties
* energy of formation: -112 meV per atom
* energy relative to the lowest polymorph listed for this composition: 0.000 eV/atom
* total moment: 0.0 μB/f.u.
* symmetry: No. 11
* DFT total energy: -6.9614 eV per atom


[3]
A geometry-optimized ThFe4Cu structure, computed with PBE.

The structure in CIF format:
```
data_ThFe4Cu
_cell_length_a 5.029
_cell_length_b 5.029
_cell_length_c 5.029
_cell_angle_alpha 60.00
_cell_angle_beta 60.00
_cell_angle_gamma 60.00
_space_group_name_H-M_alt 'P 1'
_space_group_IT_number 1
loop_
_space_group_symop_operation_xyz
'x,y,z'
loop_
_atom_site_label
_atom_site_type_symbol
_atom_site_fract_x
_atom_site_fract_y
_atom_site_fract_z
Cu1 Cu 0.000 0.000 0.000
Th1 Th 0.250 0.250 0.250
Fe1 Fe 0.627 0.627 0.120
Fe2 Fe 0.627 0.120 0.627
Fe3 Fe 0.627 0.627 0.627
Fe4 Fe 0.120 0.627 0.627
```

Properties
* energy of formation: 55 meV per atom
* total moment: 8.7 μB/f.u.
* symmetry: No. 216
* DFT total energy: -7.5062 eV per atom


[4]
A geometry-optimized Th3FeCu2 structure, computed with PBE.

The structure in CIF format:
```
data_Th3FeCu2
_cell_length_a 4.360
_cell_length_b 10.450
_cell_length_c 11.962
_cell_angle_alpha 90.00
_cell_angle_beta 90.00
_cell_angle_gamma 90.00
_space_group_name_H-M_alt 'P 1'
_space_group_IT_number 1
loop_
_space_group_symop_operation_xyz
'x,y,z'
loop_
_atom_site_label
_atom_site_type_symbol
_atom_site_fract_x
_atom_site_fract_y
_atom_site_fract_z
Th1 Th 0.250 0.377 0.057
Th2 Th 0.750 0.623 0.943
Th3 Th 0.750 0.877 0.443
Th4 Th 0.250 0.123 0.557
Th5 Th 0.250 0.702 0.233
Th6 Th 0.750 0.298 0.767
Th7 Th 0.750 0.202 0.267
Th8 Th 0.250 0.798 0.733
Th9 Th 0.250 0.435 0.391
Th10 Th 0.750 0.565 0.609
Th11 Th 0.750 0.935 0.109
Th12 Th 0.250 0.065 0.891
Fe1 Fe 0.250 0.135 0.117
Fe2 Fe 0.750 0.865 0.883
Fe3 Fe 0.750 0.635 0.383
Fe4 Fe 0.250 0.365 0.617
Cu1 Cu 0.250 0.700 0.489
Cu2 Cu 0.750 0.300 0.511
Cu3 Cu 0.750 0.200 0.011
Cu4 Cu 0.250 0.800 0.989
Cu5 Cu 0.250 0.997 0.297
Cu6 Cu 0.750 0.003 0.703
Cu7 Cu 0.750 0.497 0.203
Cu8 Cu 0.250 0.503 0.797
```

Properties
* energy of formation: -62 meV per atom
* total moment: 0.0 μB/f.u.
* symmetry: No. 62
* DFT total energy: -6.5475 eV per atom


[5]
A geometry-optimized Th4FeCu structure, computed with PBE.

The structure in CIF format:
```
data_Th4FeCu
_cell_length_a 5.897
_cell_length_b 7.133
_cell_length_c 7.133
_cell_angle_alpha 90.00
_cell_angle_beta 90.00
_cell_angle_gamma 90.00
_space_group_name_H-M_alt 'P 1'
_space_group_IT_number 1
loop_
_space_group_symop_operation_xyz
'x,y,z'
loop_
_atom_site_label
_atom_site_type_symbol
_atom_site_fract_x
_atom_site_fract_y
_atom_site_fract_z
Th1 Th 0.000 0.179 0.654
Th2 Th 0.000 0.821 0.346
Th3 Th 0.000 0.346 0.179
Th4 Th 0.000 0.654 0.821
Th5 Th 0.500 0.821 0.654
Th6 Th 0.500 0.179 0.346
Th7 Th 0.500 0.654 0.179
Th8 Th 0.500 0.346 0.821
Fe1 Fe 0.250 0.500 0.500
Fe2 Fe 0.750 0.500 0.500
Cu1 Cu 0.250 0.000 0.000
Cu2 Cu 0.750 0.000 0.000
```

Properties
* energy of formation: -77 meV per atom
* total moment: 0.0 μB/f.u.
* symmetry: No. 124
* DFT total energy: -7.1169 eV per atom


[6]
A geometry-optimized Th2FeCu structure, computed with PBE.

The structure in CIF format:
```
data_Th2FeCu
_cell_length_a 4.975
_cell_length_b 4.975
_cell_length_c 4.975
_cell_angle_alpha 60.00
_cell_angle_beta 60.00
_cell_angle_gamma 60.00
_space_group_name_H-M_alt 'P 1'
_space_group_IT_number 1
loop_
_space_group_symop_operation_xyz
'x,y,z'
loop_
_atom_site_label
_atom_site_type_symbol
_atom_site_fract_x
_atom_site_fract_y
_atom_site_fract_z
Cu1 Cu 0.500 0.500 0.500
Th1 Th 0.250 0.250 0.250
Th2 Th 0.750 0.750 0.750
Fe1 Fe 0.000 0.000 0.000
```

Properties
* energy of formation: 42 meV per atom
* energy relative to the lowest polymorph listed for this composition: 0.154 eV/atom
* total moment: 0.3 μB/f.u.
* symmetry: No. 225
* DFT total energy: -6.8071 eV per atom


[7]
A geometry-optimized TiFe4Cu structure, computed with PBE.

The structure in CIF format:
```
data_TiFe4Cu
_cell_length_a 4.691
_cell_length_b 4.691
_cell_length_c 4.691
_cell_angle_alpha 60.00
_cell_angle_beta 60.00
_cell_angle_gamma 60.00
_space_group_name_H-M_alt 'P 1'
_space_group_IT_number 1
loop_
_space_group_symop_operation_xyz
'x,y,z'
loop_
_atom_site_label
_atom_site_type_symbol
_atom_site_fract_x
_atom_site_fract_y
_atom_site_fract_z
Fe1 Fe 0.626 0.626 0.122
Fe2 Fe 0.626 0.122 0.626
Fe3 Fe 0.626 0.626 0.626
Fe4 Fe 0.122 0.626 0.626
Cu1 Cu 0.000 0.000 0.000
Ti1 Ti 0.250 0.250 0.250
```

Properties
* energy of formation: -53 meV per atom
* total moment: 5.4 μB/f.u.
* symmetry: No. 216
* DFT total energy: -7.6931 eV per atom


[8]
A geometry-optimized Ti4FeCu structure, computed with PBE.

The structure in CIF format:
```
data_Ti4FeCu
_cell_length_a 2.955
_cell_length_b 2.955
_cell_length_c 10.198
_cell_angle_alpha 90.00
_cell_angle_beta 90.00
_cell_angle_gamma 90.00
_space_group_name_H-M_alt 'P 1'
_space_group_IT_number 1
loop_
_space_group_symop_operation_xyz
'x,y,z'
loop_
_atom_site_label
_atom_site_type_symbol
_atom_site_fract_x
_atom_site_fract_y
_atom_site_fract_z
Ti1 Ti 0.500 0.500 0.855
Ti2 Ti 0.500 0.500 0.145
Ti3 Ti 0.000 0.000 0.670
Ti4 Ti 0.000 0.000 0.330
Fe1 Fe 0.000 0.000 0.000
Cu1 Cu 0.500 0.500 0.500
```

Properties
* energy of formation: -175 meV per atom
* energy relative to the lowest polymorph listed for this composition: 0.000 eV/atom
* total moment: 0.0 μB/f.u.
* symmetry: No. 123
* DFT total energy: -7.5317 eV per atom


[9]
A geometry-optimized Ti2Fe2Cu structure, computed with PBE.

The structure in CIF format:
```
data_Ti2Fe2Cu
_cell_length_a 6.608
_cell_length_b 6.608
_cell_length_c 3.042
_cell_angle_alpha 90.00
_cell_angle_beta 90.00
_cell_angle_gamma 90.00
_space_group_name_H-M_alt 'P 1'
_space_group_IT_number 1
loop_
_space_group_symop_operation_xyz
'x,y,z'
loop_
_atom_site_label
_atom_site_type_symbol
_atom_site_fract_x
_atom_site_fract_y
_atom_site_fract_z
Fe1 Fe 0.364 0.864 0.000
Fe2 Fe 0.864 0.636 0.000
Fe3 Fe 0.636 0.136 0.000
Fe4 Fe 0.136 0.364 0.000
Cu1 Cu 0.000 0.000 0.000
Cu2 Cu 0.500 0.500 0.000
Ti1 Ti 0.165 0.665 0.500
Ti2 Ti 0.665 0.835 0.500
Ti3 Ti 0.835 0.335 0.500
Ti4 Ti 0.335 0.165 0.500
```

Properties
* energy of formation: -70 meV per atom
* total moment: 0.0 μB/f.u.
* symmetry: No. 127
* DFT total energy: -7.4323 eV per atom


[10]
A geometry-optimized TiFe2Cu2 structure, computed with PBE.

The structure in CIF format:
```
data_TiFe2Cu2
_cell_length_a 7.032
_cell_length_b 7.032
_cell_length_c 2.611
_cell_angle_alpha 90.00
_cell_angle_beta 90.00
_cell_angle_gamma 90.00
_space_group_name_H-M_alt 'P 1'
_space_group_IT_number 1
loop_
_space_group_symop_operation_xyz
'x,y,z'
loop_
_atom_site_label
_atom_site_type_symbol
_atom_site_fract_x
_atom_site_fract_y
_atom_site_fract_z
Fe1 Fe 0.381 0.881 0.000
Fe2 Fe 0.881 0.619 0.000
Fe3 Fe 0.619 0.119 0.000
Fe4 Fe 0.119 0.381 0.000
Cu1 Cu 0.176 0.676 0.500
Cu2 Cu 0.676 0.824 0.500
Cu3 Cu 0.824 0.324 0.500
Cu4 Cu 0.324 0.176 0.500
Ti1 Ti 0.000 0.000 0.000
Ti2 Ti 0.500 0.500 0.000
```

Properties
* energy of formation: 151 meV per atom
* energy relative to the lowest polymorph listed for this composition: 0.000 eV/atom
* total moment: 3.7 μB/f.u.
* symmetry: No. 127
* DFT total energy: -6.4517 eV per atom


[11]
A geometry-optimized Ti2FeCu structure, computed with PBE.

The structure in CIF format:
```
data_Ti2FeCu
_cell_length_a 2.955
_cell_length_b 2.955
_cell_length_c 6.288
_cell_angle_alpha 90.00
_cell_angle_beta 90.00
_cell_angle_gamma 90.00
_space_group_name_H-M_alt 'P 1'
_space_group_IT_number 1
loop_
_space_group_symop_operation_xyz
'x,y,z'
loop_
_atom_site_label
_atom_site_type_symbol
_atom_site_fract_x
_atom_site_fract_y
_atom_site_fract_z
Fe1 Fe 0.000 0.000 0.500
Cu1 Cu 0.000 0.000 0.000
Ti1 Ti 0.500 0.500 0.264
Ti2 Ti 0.500 0.500 0.736
```

Properties
* energy of formation: -214 meV per atom
* total moment: 0.0 μB/f.u.
* symmetry: No. 123
* DFT total energy: -7.3010 eV per atom


[12]
A geometry-optimized TiFe2Cu2 structure, computed with PBE.

The structure in CIF format:
```
data_TiFe2Cu2
_cell_length_a 7.059
_cell_length_b 7.059
_cell_length_c 2.618
_cell_angle_alpha 90.00
_cell_angle_beta 90.00
_cell_angle_gamma 90.00
_space_group_name_H-M_alt 'P 1'
_space_group_IT_number 1
loop_
_space_group_symop_operation_xyz
'x,y,z'
loop_
_atom_site_label
_atom_site_type_symbol
_atom_site_fract_x
_atom_site_fract_y
_atom_site_fract_z
Fe1 Fe 0.174 0.674 0.500
Fe2 Fe 0.674 0.826 0.500
Fe3 Fe 0.826 0.326 0.500
Fe4 Fe 0.326 0.174 0.500
Cu1 Cu 0.377 0.877 0.000
Cu2 Cu 0.877 0.623 0.000
Cu3 Cu 0.623 0.123 0.000
Cu4 Cu 0.123 0.377 0.000
Ti1 Ti 0.000 0.000 0.000
Ti2 Ti 0.500 0.500 0.000
```

Properties
* energy of formation: 180 meV per atom
* energy relative to the lowest polymorph listed for this composition: 0.029 eV/atom
* total moment: 3.8 μB/f.u.
* symmetry: No. 127
* DFT total energy: -6.4223 eV per atom


[13]
A geometry-optimized Ti4FeCu structure, computed with PBE.

The structure in CIF format:
```
data_Ti4FeCu
_cell_length_a 4.343
_cell_length_b 4.349
_cell_length_c 6.670
_cell_angle_alpha 70.91
_cell_angle_beta 71.00
_cell_angle_gamma 60.05
_space_group_name_H-M_alt 'P 1'
_space_group_IT_number 1
loop_
_space_group_symop_operation_xyz
'x,y,z'
loop_
_atom_site_label
_atom_site_type_symbol
_atom_site_fract_x
_atom_site_fract_y
_atom_site_fract_z
Ti1 Ti 0.636 0.636 0.091
Ti2 Ti 0.364 0.364 0.909
Ti3 Ti 0.119 0.118 0.644
Ti4 Ti 0.881 0.882 0.356
Fe1 Fe 0.000 0.000 0.000
Cu1 Cu 0.500 0.500 0.500
```

Properties
* energy of formation: 178 meV per atom
* energy relative to the lowest polymorph listed for this composition: 0.353 eV/atom
* total moment: 0.0 μB/f.u.
* symmetry: No. 12
* DFT total energy: -7.1787 eV per atom